DFT (GGA+U) results for a relaxed CoSnTeO5 crystal.

The structure in POSCAR format:
```
CoSnTeO5
1.0
6.091 -0.208 -0.444
-1.977 5.765 -0.444
-2.217 -2.994 7.327
Te O Co Sn
2 10 2 2
Direct
0.745 0.255 0.250
0.255 0.745 0.750
0.944 0.056 0.750
0.991 0.363 0.110
0.056 0.944 0.250
0.401 0.181 0.070
0.181 0.401 0.570
0.363 0.991 0.610
0.819 0.599 0.430
0.599 0.819 0.930
0.009 0.637 0.890
0.637 0.009 0.390
0.249 0.751 0.250
0.751 0.249 0.750
0.000 0.000 0.500
0.000 0.000 0.000
```

Values from the calculation:
- DFT total energy (eV/atom) = -5.70
- total magnetic moment (Bohr magnetons per cell) = 6.03